Record 1
Compound: Ba2TaZnGe
Source: Alexandria
Functional: GGA-PBE
Structure: optimized geometry

M_tot = 4.30 μB/f.u.
DFT total energy = -17.327 eV per formula unit

Cell: 6.315 6.315 4.549 Å, 90.00 90.00 90.00°
Element x y z (fractional)
Ba (0.000, 0.500, 0.000)
Ba (0.500, 0.000, 0.000)
Ta (0.000, 0.000, 0.500)
Zn (0.500, 0.500, 0.000)
Ge (0.500, 0.500, 0.500)

=====

Record 2
Compound: Ba2TbGeTe5
Source: Alexandria
Functional: GGA-PBE
Structure: optimized geometry

Formation energy without anion corrections = -1.2130 eV per atom
M_tot = 0.00 μB/f.u.
DFT total energy = -39.718 eV per formula unit

Cell: 10.490 10.490 13.802 Å, 90.00 90.00 153.88°
Element x y z (fractional)
Ba (0.120, 0.880, 0.500)
Ba (0.122, 0.878, 0.133)
Ba (0.878, 0.122, 0.633)
Ba (0.880, 0.120, 0.000)
Tb (0.207, 0.793, 0.838)
Tb (0.793, 0.207, 0.338)
Ge (0.439, 0.561, 0.256)
Ge (0.561, 0.439, 0.756)
Te (0.049, 0.951, 0.855)
Te (0.295, 0.705, 0.483)
Te (0.314, 0.686, 0.184)
Te (0.354, 0.646, 0.818)
Te (0.499, 0.501, 0.084)
Te (0.501, 0.499, 0.584)
Te (0.646, 0.354, 0.318)
Te (0.686, 0.314, 0.684)
Te (0.705, 0.295, 0.983)
Te (0.951, 0.049, 0.355)

=====

Record 3
Compound: BaTc4Ge2
Source: Alexandria
Functional: GGA-PBE
Structure: optimized geometry

M_tot = 0.00 μB/f.u.
DFT total energy = -53.981 eV per formula unit

Cell: 7.947 7.947 4.246 Å, 90.00 90.00 149.02°
Element x y z (fractional)
Ba (0.000, 0.000, 0.000)
Tc (0.202, 0.798, 0.500)
Tc (0.296, 0.704, 0.000)
Tc (0.704, 0.296, 0.000)
Tc (0.798, 0.202, 0.500)
Ge (0.398, 0.602, 0.500)
Ge (0.602, 0.398, 0.500)

=====

Record 4
Compound: BaTcGe2
Source: Alexandria
Functional: GGA-PBE
Structure: optimized geometry

M_tot = 0.00 μB/f.u.
Offset from the most stable computed form = 0.00 eV/f.u.
DFT total energy = -22.282 eV per formula unit

Cell: 6.536 6.536 6.536 Å, 38.31 38.31 38.31°
Element x y z (fractional)
Ba (0.000, 0.000, 0.000)
Tc (0.500, 0.500, 0.500)
Ge (0.207, 0.207, 0.207)
Ge (0.793, 0.793, 0.793)

=====

Record 5
Compound: BaTc2Ge2
Source: Alexandria
Functional: GGA-PBE
Structure: optimized geometry

M_tot = 0.00 μB/f.u.
DFT total energy = -31.932 eV per formula unit

Cell: 5.847 5.847 5.847 Å, 132.57 132.57 69.33°
Element x y z (fractional)
Ba (0.000, 0.000, 0.000)
Tc (0.382, 0.382, 0.000)
Tc (0.618, 0.618, 0.000)
Ge (0.250, 0.750, 0.500)
Ge (0.750, 0.250, 0.500)

=====

Record 6
Compound: BaTc2Ge
Source: Alexandria
Functional: GGA-PBE
Structure: optimized geometry

M_tot = 0.16 μB/f.u.
DFT total energy = -25.359 eV per formula unit

Cell: 9.566 9.566 9.566 Å, 150.58 150.58 42.09°
Element x y z (fractional)
Ba (0.375, 0.625, 0.750)
Ba (0.625, 0.375, 0.250)
Tc (0.000, 0.000, 0.000)
Tc (0.000, 0.000, 0.500)
Tc (0.000, 0.500, 0.000)
Tc (0.500, 0.000, 0.500)
Ge (0.125, 0.875, 0.250)
Ge (0.875, 0.125, 0.750)

=====

Record 7
Compound: BaTcGe2
Source: Alexandria
Functional: GGA-PBE
Structure: optimized geometry

M_tot = 0.00 μB/f.u.
Offset from the most stable computed form = 0.00 eV/f.u.
DFT total energy = -22.287 eV per formula unit

Cell: 8.599 8.599 8.599 Å, 141.86 141.86 55.04°
Element x y z (fractional)
Ba (0.375, 0.625, 0.750)
Ba (0.625, 0.375, 0.250)
Tc (0.125, 0.875, 0.250)
Tc (0.875, 0.125, 0.750)
Ge (0.000, 0.000, 0.000)
Ge (0.000, 0.000, 0.500)
Ge (0.000, 0.500, 0.000)
Ge (0.500, 0.000, 0.500)

=====

Record 8
Compound: BaTcGe2
Source: Alexandria
Functional: GGA-PBE
Structure: optimized geometry

M_tot = 0.70 μB/f.u.
Offset from the most stable computed form = 2.42 eV/f.u.
DFT total energy = -19.863 eV per formula unit

Cell: 4.960 4.960 4.960 Å, 60.00 60.00 60.00°
Element x y z (fractional)
Ba (0.000, 0.000, 0.000)
Tc (0.500, 0.500, 0.500)
Ge (0.250, 0.250, 0.250)
Ge (0.750, 0.750, 0.750)

=====

Record 9
Compound: Ba3TcGe
Source: Alexandria
Functional: GGA-PBE
Structure: optimized geometry

M_tot = 1.02 μB/f.u.
Offset from the most stable computed form = 0.00 eV/f.u.
DFT total energy = -18.458 eV per formula unit

Cell: 5.724 5.724 5.724 Å, 90.00 90.00 90.00°
Element x y z (fractional)
Ba (0.000, 0.000, 0.500)
Ba (0.000, 0.500, 0.000)
Ba (0.500, 0.000, 0.000)
Tc (0.000, 0.000, 0.000)
Ge (0.500, 0.500, 0.500)

=====

Record 10
Compound: BaTl2TcGe
Source: Alexandria
Functional: GGA-PBE
Structure: optimized geometry

M_tot = 2.04 μB/f.u.
DFT total energy = -13.374 eV per formula unit

Cell: 6.293 6.293 5.176 Å, 90.00 90.00 90.00°
Element x y z (fractional)
Ba (0.000, 0.000, 0.000)
Tl (0.000, 0.500, 0.000)
Tl (0.500, 0.000, 0.000)
Tc (0.000, 0.000, 0.500)
Ge (0.500, 0.500, 0.500)

=====

Record 11
Compound: BaZnTcGe2
Source: Alexandria
Functional: GGA-PBE
Structure: optimized geometry

M_tot = 0.00 μB/f.u.
DFT total energy = -24.252 eV per formula unit

Cell: 4.847 4.847 5.016 Å, 90.00 90.00 90.00°
Element x y z (fractional)
Ba (0.000, 0.000, 0.000)
Zn (0.500, 0.500, 0.000)
Tc (0.500, 0.500, 0.500)
Ge (0.000, 0.500, 0.500)
Ge (0.500, 0.000, 0.500)

=====

Record 12
Compound: BaZn2TcGe
Source: Alexandria
Functional: GGA-PBE
Structure: optimized geometry

M_tot = 0.00 μB/f.u.
DFT total energy = -20.483 eV per formula unit

Cell: 5.001 5.001 4.800 Å, 90.00 90.00 90.00°
Element x y z (fractional)
Ba (0.000, 0.000, 0.000)
Zn (0.000, 0.500, 0.500)
Zn (0.500, 0.000, 0.500)
Tc (0.500, 0.500, 0.500)
Ge (0.500, 0.500, 0.000)

=====

Record 13
Compound: Ba2ZnTcGe
Source: Alexandria
Functional: GGA-PBE
Structure: optimized geometry

M_tot = 3.22 μB/f.u.
DFT total energy = -16.442 eV per formula unit

Cell: 6.320 6.320 4.474 Å, 90.00 90.00 90.00°
Element x y z (fractional)
Ba (0.000, 0.500, 0.000)
Ba (0.500, 0.000, 0.000)
Zn (0.000, 0.000, 0.000)
Tc (0.500, 0.500, 0.500)
Ge (0.000, 0.000, 0.500)

=====

Record 14
Compound: BaGe2Te2
Source: Alexandria
Functional: GGA-PBE
Structure: optimized geometry

Formation energy without anion corrections = -0.3928 eV per atom
M_tot = 0.00 μB/f.u.
Offset from the most stable computed form = 0.67 eV/f.u.
DFT total energy = -19.405 eV per formula unit

Cell: 8.617 8.617 4.156 Å, 90.00 90.00 90.00°
Element x y z (fractional)
Ba (0.000, 0.000, 0.000)
Ba (0.500, 0.500, 0.000)
Ge (0.112, 0.388, 0.000)
Ge (0.388, 0.888, 0.000)
Ge (0.612, 0.112, 0.000)
Ge (0.888, 0.612, 0.000)
Te (0.228, 0.728, 0.500)
Te (0.272, 0.228, 0.500)
Te (0.728, 0.772, 0.500)
Te (0.772, 0.272, 0.500)

=====

Record 15
Compound: Ba2Ge2Te5
Source: Alexandria
Functional: GGA-PBE
Structure: optimized geometry

Formation energy without anion corrections = -0.7518 eV per atom
M_tot = 0.00 μB/f.u.
DFT total energy = -35.554 eV per formula unit

Cell: 11.905 11.905 11.905 Å, 58.66 139.05 139.89°
Element x y z (fractional)
Ba (0.005, 0.103, 0.108)
Ba (0.005, 0.397, 0.402)
Ba (0.995, 0.603, 0.598)
Ba (0.995, 0.897, 0.892)
Ge (0.441, 0.764, 0.176)
Ge (0.525, 0.025, 0.500)
Ge (0.525, 0.525, 0.000)
Ge (0.588, 0.264, 0.824)
Te (0.007, 0.252, 0.757)
Te (0.007, 0.750, 0.255)
Te (0.031, 0.421, 0.110)
Te (0.310, 0.921, 0.890)
Te (0.495, 0.250, 0.243)
Te (0.495, 0.752, 0.745)
Te (0.502, 0.228, 0.561)
Te (0.502, 0.441, 0.774)
Te (0.667, 0.728, 0.226)
Te (0.667, 0.941, 0.439)

=====

Record 16
Compound: BaGeTe3
Source: Alexandria
Functional: GGA-PBE
Structure: optimized geometry

Formation energy without anion corrections = -0.5422 eV per atom
M_tot = 0.00 μB/f.u.
Offset from the most stable computed form = 0.71 eV/f.u.
DFT total energy = -18.676 eV per formula unit

Cell: 5.571 5.571 5.571 Å, 90.00 90.00 90.00°
Element x y z (fractional)
Ba (0.000, 0.000, 0.000)
Ge (0.500, 0.500, 0.500)
Te (0.000, 0.500, 0.500)
Te (0.500, 0.000, 0.500)
Te (0.500, 0.500, 0.000)

=====

Record 17
Compound: BaGe3Te
Source: Alexandria
Functional: GGA-PBE
Structure: optimized geometry

Formation energy without anion corrections = 1.2973 eV per atom
M_tot = 0.00 μB/f.u.
Offset from the most stable computed form = 5.07 eV/f.u.
DFT total energy = -12.430 eV per formula unit

Cell: 5.855 5.855 5.855 Å, 90.00 90.00 90.00°
Element x y z (fractional)
Ba (0.000, 0.000, 0.000)
Ge (0.000, 0.000, 0.500)
Ge (0.000, 0.500, 0.000)
Ge (0.500, 0.000, 0.000)
Te (0.500, 0.500, 0.500)

=====

Record 18
Compound: BaGe3Te
Source: Alexandria
Functional: GGA-PBE
Structure: optimized geometry

Formation energy without anion corrections = 0.2833 eV per atom
M_tot = 0.00 μB/f.u.
Offset from the most stable computed form = 0.00 eV/f.u.
DFT total energy = -17.500 eV per formula unit

Cell: 5.519 5.519 5.519 Å, 90.00 90.00 90.00°
Element x y z (fractional)
Ba (0.000, 0.000, 0.000)
Ge (0.000, 0.500, 0.500)
Ge (0.500, 0.000, 0.500)
Ge (0.500, 0.500, 0.000)
Te (0.500, 0.500, 0.500)

=====

Record 19
Compound: BaGe2Te2
Source: Alexandria
Functional: GGA-PBE
Structure: optimized geometry

Formation energy without anion corrections = -0.3006 eV per atom
M_tot = 0.00 μB/f.u.
Offset from the most stable computed form = 1.14 eV/f.u.
DFT total energy = -18.944 eV per formula unit

Cell: 9.120 9.120 3.997 Å, 90.00 90.00 90.00°
Element x y z (fractional)
Ba (0.000, 0.000, 0.000)
Ba (0.500, 0.500, 0.000)
Ge (0.201, 0.299, 0.500)
Ge (0.299, 0.799, 0.500)
Ge (0.701, 0.201, 0.500)
Ge (0.799, 0.701, 0.500)
Te (0.151, 0.651, 0.000)
Te (0.349, 0.151, 0.000)
Te (0.651, 0.849, 0.000)
Te (0.849, 0.349, 0.000)

=====

Record 20
Compound: Ba2GeTe4
Source: Alexandria
Functional: GGA-PBE
Structure: optimized geometry

Formation energy without anion corrections = -1.0296 eV per atom
M_tot = 0.00 μB/f.u.
Offset from the most stable computed form = 0.00 eV/f.u.
DFT total energy = -28.237 eV per formula unit

Cell: 7.822 7.720 9.629 Å, 90.00 108.16 90.00°
Element x y z (fractional)
Ba (0.237, 0.250, 0.060)
Ba (0.256, 0.250, 0.564)
Ba (0.744, 0.750, 0.436)
Ba (0.763, 0.750, 0.940)
Ge (0.218, 0.750, 0.801)
Ge (0.782, 0.250, 0.199)
Te (0.004, 0.511, 0.259)
Te (0.004, 0.989, 0.259)
Te (0.392, 0.750, 0.081)
Te (0.400, 0.750, 0.613)
Te (0.600, 0.250, 0.387)
Te (0.608, 0.250, 0.919)
Te (0.996, 0.011, 0.741)
Te (0.996, 0.489, 0.741)

=====

Record 21
Compound: Ba3GeTe4
Source: Alexandria
Functional: GGA-PBE
Structure: optimized geometry

Formation energy without anion corrections = -1.3118 eV per atom
M_tot = 0.00 μB/f.u.
DFT total energy = -33.446 eV per formula unit

Cell: 13.734 7.028 7.026 Å, 90.00 90.00 90.00°
Element x y z (fractional)
Ba (0.000, 0.244, 0.000)
Ba (0.250, 0.248, 0.498)
Ba (0.250, 0.752, 0.998)
Ba (0.500, 0.756, 0.500)
Ba (0.750, 0.248, 0.498)
Ba (0.750, 0.752, 0.998)
Ge (0.000, 0.792, 0.452)
Ge (0.500, 0.208, 0.952)
Te (0.000, 0.186, 0.494)
Te (0.000, 0.751, 0.058)
Te (0.237, 0.748, 0.497)
Te (0.263, 0.252, 0.997)
Te (0.500, 0.249, 0.558)
Te (0.500, 0.814, 0.994)
Te (0.737, 0.252, 0.997)
Te (0.763, 0.748, 0.497)

=====

Record 22
Compound: Ba2GeTe
Source: Alexandria
Functional: GGA-PBE
Structure: optimized geometry

Formation energy without anion corrections = -0.7743 eV per atom
M_tot = 1.80 μB/f.u.
DFT total energy = -14.702 eV per formula unit

Cell: 5.928 5.928 5.928 Å, 60.00 60.00 60.00°
Element x y z (fractional)
Ba (0.250, 0.250, 0.250)
Ba (0.750, 0.750, 0.750)
Ge (0.000, 0.000, 0.000)
Te (0.500, 0.500, 0.500)

=====

Record 23
Compound: Ba2GeTe4
Source: Alexandria
Functional: GGA-PBE
Structure: optimized geometry

Formation energy without anion corrections = -0.8560 eV per atom
M_tot = 0.00 μB/f.u.
Offset from the most stable computed form = 1.22 eV/f.u.
DFT total energy = -27.021 eV per formula unit

Cell: 9.805 9.805 9.805 Å, 147.80 147.80 46.17°
Element x y z (fractional)
Ba (0.144, 0.144, 0.000)
Ba (0.856, 0.856, 0.000)
Ge (0.500, 0.500, 0.000)
Te (0.000, 0.500, 0.500)
Te (0.334, 0.334, 0.000)
Te (0.500, 0.000, 0.500)
Te (0.666, 0.666, 0.000)

=====

Record 24
Compound: BaGe2Te2
Source: Alexandria
Functional: GGA-PBE
Structure: optimized geometry

Formation energy without anion corrections = -0.5277 eV per atom
M_tot = 0.00 μB/f.u.
Offset from the most stable computed form = 0.00 eV/f.u.
DFT total energy = -20.079 eV per formula unit

Cell: 6.197 6.197 6.197 Å, 123.82 123.82 83.51°
Element x y z (fractional)
Ba (0.000, 0.000, 0.000)
Ge (0.352, 0.352, 0.000)
Ge (0.648, 0.648, 0.000)
Te (0.250, 0.750, 0.500)
Te (0.750, 0.250, 0.500)

=====

Record 25
Compound: BaGeTe4
Source: Alexandria
Functional: GGA-PBE
Structure: optimized geometry

Formation energy without anion corrections = -0.5399 eV per atom
M_tot = 0.00 μB/f.u.
DFT total energy = -22.346 eV per formula unit

Cell: 6.238 8.516 8.945 Å, 90.00 94.72 90.00°
Element x y z (fractional)
Ba (0.000, 0.249, 0.250)
Ba (0.000, 0.751, 0.750)
Ge (0.500, 0.235, 0.750)
Ge (0.500, 0.765, 0.250)
Te (0.221, 0.079, 0.577)
Te (0.221, 0.921, 0.077)
Te (0.306, 0.430, 0.940)
Te (0.306, 0.570, 0.440)
Te (0.694, 0.430, 0.560)
Te (0.694, 0.570, 0.060)
Te (0.779, 0.079, 0.923)
Te (0.779, 0.921, 0.423)